No. 1
{
  "formula": "Pm3Ag2Rh3",
  "functional": "GGA-PBE",
  "state": "relaxed",
  "space_group": "P6_3/mcm, No. 193",
  "delta_e_f_ev_per_atom": -0.449,
  "dos_ef_per_ev_atom": 0.5450,
  "lattice": [[8.448, 0.000, 0.000], [-4.224, 7.316, 0.000], [0.000, 0.000, 5.662]],
  "species": ["Pm", "Pm", "Pm", "Pm", "Pm", "Pm", "Ag", "Ag", "Ag", "Ag", "Rh", "Rh", "Rh", "Rh", "Rh", "Rh"],
  "fractional_positions": [[0.000, 0.289, 0.250], [0.000, 0.711, 0.750], [0.289, 0.000, 0.250], [0.289, 0.289, 0.750], [0.711, 0.000, 0.750], [0.711, 0.711, 0.250], [0.333, 0.667, 0.000], [0.333, 0.667, 0.500], [0.667, 0.333, 0.000], [0.667, 0.333, 0.500], [0.000, 0.379, 0.750], [0.000, 0.621, 0.250], [0.379, 0.000, 0.750], [0.379, 0.379, 0.250], [0.621, 0.000, 0.250], [0.621, 0.621, 0.750]]
}

---

No. 2
{
  "formula": "KTaTe2",
  "functional": "GGA-PBE",
  "state": "relaxed",
  "space_group": "P4mm, No. 99",
  "dos_ef_per_ev_atom": 0.7253,
  "raw_formation_energy_ev_per_atom": 0.22,
  "lattice": [[3.361, 0.000, 0.000], [0.000, 3.361, 0.000], [0.000, 0.000, 10.869]],
  "species": ["K", "Ta", "Te", "Te"],
  "fractional_positions": [[0.000, 0.000, 0.000], [0.500, 0.500, 0.301], [0.000, 0.000, 0.440], [0.500, 0.500, 0.757]]
}

---

No. 3
{
  "formula": "TlTe2Os",
  "functional": "GGA-PBE",
  "state": "relaxed",
  "space_group": "Cm, No. 8",
  "dos_ef_per_ev_atom": 0.7160,
  "raw_formation_energy_ev_per_atom": 0.32,
  "de_polymorph_mev_per_atom": 213.4,
  "lattice": [[5.385, -1.671, 0.000], [5.385, 1.671, 0.000], [-2.774, 0.000, 5.868]],
  "species": ["Tl", "Te", "Te", "Os"],
  "fractional_positions": [[0.000, 0.000, 0.000], [0.160, 0.160, 0.644], [0.357, 0.357, 0.350], [0.731, 0.731, 0.998]]
}

---

No. 4
{
  "formula": "TmLuAgPb",
  "functional": "GGA-PBE",
  "state": "relaxed",
  "space_group": "F-43m, No. 216",
  "delta_e_f_ev_per_atom": -0.336,
  "dos_ef_per_ev_atom": 0.9258,
  "lattice": [[0.000, 3.684, 3.684], [3.684, 0.000, 3.684], [3.684, 3.684, 0.000]],
  "species": ["Tm", "Lu", "Ag", "Pb"],
  "fractional_positions": [[0.000, 0.000, 0.000], [0.500, 0.500, 0.500], [0.750, 0.750, 0.750], [0.250, 0.250, 0.250]]
}

---

No. 5
{
  "formula": "TbTmMg3",
  "functional": "GGA-PBE",
  "state": "relaxed",
  "space_group": "Cmcm, No. 63",
  "delta_e_f_ev_per_atom": -0.052,
  "dos_ef_per_ev_atom": 0.8142,
  "de_polymorph_mev_per_atom": 0.0,
  "lattice": [[1.655, -15.402, 0.000], [1.655, 15.402, 0.000], [0.000, 0.000, 5.187]],
  "species": ["Tb", "Tb", "Tm", "Tm", "Mg", "Mg", "Mg", "Mg", "Mg", "Mg"],
  "fractional_positions": [[0.074, 0.926, 0.750], [0.926, 0.074, 0.250], [0.220, 0.780, 0.250], [0.780, 0.220, 0.750], [0.326, 0.674, 0.250], [0.377, 0.623, 0.750], [0.476, 0.524, 0.750], [0.524, 0.476, 0.250], [0.623, 0.377, 0.250], [0.674, 0.326, 0.750]]
}

---

No. 6
{
  "formula": "Tb2YHoEr5",
  "functional": "GGA-PBE",
  "state": "relaxed",
  "space_group": "I4/mcm, No. 140",
  "delta_e_f_ev_per_atom": 0.294,
  "dos_ef_per_ev_atom": 1.2958,
  "lattice": [[-4.366, 4.366, 7.460], [4.366, -4.366, 7.460], [4.366, 4.366, -7.460]],
  "species": ["Tb", "Tb", "Tb", "Tb", "Y", "Y", "Ho", "Ho", "Er", "Er", "Er", "Er", "Er", "Er", "Er", "Er", "Er", "Er"],
  "fractional_positions": [[0.115, 0.615, 0.730], [0.385, 0.115, 0.500], [0.615, 0.885, 0.500], [0.885, 0.385, 0.270], [0.250, 0.250, 0.000], [0.750, 0.750, 0.000], [0.250, 0.750, 0.500], [0.750, 0.250, 0.500], [0.000, 0.000, 0.000], [0.071, 0.158, 0.500], [0.158, 0.658, 0.087], [0.342, 0.429, 0.500], [0.429, 0.929, 0.087], [0.500, 0.500, 0.000], [0.571, 0.071, 0.913], [0.658, 0.571, 0.500], [0.842, 0.342, 0.913], [0.929, 0.842, 0.500]]
}

---

No. 7
{
  "formula": "PuCdPdRh",
  "functional": "GGA-PBE",
  "state": "relaxed",
  "space_group": "P4mm, No. 99",
  "delta_e_f_ev_per_atom": -0.340,
  "dos_ef_per_ev_atom": 2.5843,
  "de_polymorph_mev_per_atom": 25.2,
  "lattice": [[3.315, 0.000, 0.000], [0.000, 3.315, 0.000], [0.000, 0.000, 6.926]],
  "species": ["Pu", "Cd", "Pd", "Rh"],
  "fractional_positions": [[0.000, 0.000, 0.000], [0.000, 0.000, 0.513], [0.500, 0.500, 0.282], [0.500, 0.500, 0.756]]
}

---

No. 8
{
  "formula": "PIrAuC",
  "functional": "GGA-PBE",
  "state": "relaxed",
  "space_group": "P1, No. 1",
  "delta_e_f_ev_per_atom": 0.497,
  "dos_ef_per_ev_atom": 0.4797,
  "de_polymorph_mev_per_atom": 122.8,
  "lattice": [[3.410, 0.000, 0.000], [1.699, 3.945, 0.000], [0.008, 0.179, 5.077]],
  "species": ["P", "Ir", "Au", "C"],
  "fractional_positions": [[0.000, 0.000, 0.000], [0.208, 0.583, 0.701], [0.545, 0.909, 0.330], [0.804, 0.388, 0.802]]
}

---

No. 9
{
  "formula": "Y2ThSc",
  "functional": "GGA-PBE",
  "state": "relaxed",
  "space_group": "Fm-3m, No. 225",
  "delta_e_f_ev_per_atom": 0.189,
  "dos_ef_per_ev_atom": 2.3472,
  "de_polymorph_mev_per_atom": 154.4,
  "lattice": [[0.000, 3.945, 3.945], [3.945, 0.000, 3.945], [3.945, 3.945, 0.000]],
  "species": ["Y", "Y", "Th", "Sc"],
  "fractional_positions": [[0.250, 0.250, 0.250], [0.750, 0.750, 0.750], [0.000, 0.000, 0.000], [0.500, 0.500, 0.500]]
}

---

No. 10
{
  "formula": "EuGa3Pd",
  "functional": "GGA-PBE",
  "state": "relaxed",
  "space_group": "Cmcm, No. 63",
  "delta_e_f_ev_per_atom": -0.659,
  "dos_ef_per_ev_atom": 2.2709,
  "lattice": [[3.229, -5.222, 0.000], [3.229, 5.222, 0.000], [0.000, 0.000, 5.928]],
  "species": ["Eu", "Eu", "Ga", "Ga", "Ga", "Ga", "Ga", "Ga", "Pd", "Pd"],
  "fractional_positions": [[0.233, 0.767, 0.750], [0.767, 0.233, 0.250], [0.284, 0.284, 0.000], [0.284, 0.284, 0.500], [0.335, 0.665, 0.250], [0.665, 0.335, 0.750], [0.716, 0.716, 0.000], [0.716, 0.716, 0.500], [0.096, 0.904, 0.250], [0.904, 0.096, 0.750]]
}

---

No. 11
{
  "formula": "LaHg2As",
  "functional": "GGA-PBE",
  "state": "relaxed",
  "space_group": "Pm, No. 6",
  "delta_e_f_ev_per_atom": -0.650,
  "dos_ef_per_ev_atom": 0.2289,
  "lattice": [[4.358, 0.000, 0.000], [0.000, 4.360, 0.000], [-0.002, 0.000, 5.470]],
  "species": ["La", "Hg", "Hg", "As"],
  "fractional_positions": [[0.000, 0.000, 0.000], [0.003, 0.500, 0.485], [0.502, 0.000, 0.486], [0.500, 0.500, 0.953]]
}

---

No. 12
{
  "formula": "Mn2Si2Ni5Ge",
  "functional": "GGA-PBE",
  "state": "relaxed",
  "space_group": "P4/mbm, No. 127",
  "dos_ef_per_ev_atom": 0.8519,
  "raw_formation_energy_ev_per_atom": -0.27,
  "lattice": [[8.343, 0.000, 0.000], [0.000, 8.343, 0.000], [0.000, 0.000, 3.513]],
  "species": ["Mn", "Mn", "Mn", "Mn", "Si", "Si", "Si", "Si", "Ni", "Ni", "Ni", "Ni", "Ni", "Ni", "Ni", "Ni", "Ni", "Ni", "Ge", "Ge"],
  "fractional_positions": [[0.173, 0.327, 0.000], [0.327, 0.827, 0.000], [0.673, 0.173, 0.000], [0.827, 0.673, 0.000], [0.124, 0.624, 0.000], [0.376, 0.124, 0.000], [0.624, 0.876, 0.000], [0.876, 0.376, 0.000], [0.000, 0.500, 0.500], [0.071, 0.797, 0.500], [0.203, 0.071, 0.500], [0.297, 0.571, 0.500], [0.429, 0.297, 0.500], [0.500, 0.000, 0.500], [0.571, 0.703, 0.500], [0.703, 0.429, 0.500], [0.797, 0.929, 0.500], [0.929, 0.203, 0.500], [0.000, 0.000, 0.000], [0.500, 0.500, 0.000]]
}

---

No. 13
{
  "formula": "Er2PtAu",
  "functional": "GGA-PBE",
  "state": "relaxed",
  "space_group": "Imm2, No. 44",
  "delta_e_f_ev_per_atom": -0.893,
  "dos_ef_per_ev_atom": 0.6060,
  "lattice": [[-1.873, 3.674, 3.606], [1.873, -3.674, 3.606], [1.873, 3.674, -3.606]],
  "species": ["Er", "Er", "Pt", "Au"],
  "fractional_positions": [[0.243, 0.000, 0.243], [0.757, 0.000, 0.757], [0.809, 0.309, 0.500], [0.203, 0.703, 0.500]]
}

---

No. 14
{
  "formula": "InCo4W",
  "functional": "GGA-PBE",
  "state": "relaxed",
  "space_group": "F-43m, No. 216",
  "delta_e_f_ev_per_atom": 0.163,
  "dos_ef_per_ev_atom": 1.4205,
  "lattice": [[0.000, 3.363, 3.363], [3.363, 0.000, 3.363], [3.363, 3.363, 0.000]],
  "species": ["In", "Co", "Co", "Co", "Co", "W"],
  "fractional_positions": [[0.000, 0.000, 0.000], [0.375, 0.375, 0.375], [0.375, 0.375, 0.875], [0.375, 0.875, 0.375], [0.875, 0.375, 0.375], [0.750, 0.750, 0.750]]
}

---

No. 15
{
  "formula": "As3P",
  "functional": "GGA-PBE",
  "state": "relaxed",
  "space_group": "P-6m2, No. 187",
  "delta_e_f_ev_per_atom": 0.332,
  "dos_ef_per_ev_atom": 0.3410,
  "de_polymorph_mev_per_atom": 273.3,
  "lattice": [[3.561, 0.000, 0.000], [-1.780, 3.084, 0.000], [0.000, 0.000, 7.051]],
  "species": ["As", "As", "As", "P"],
  "fractional_positions": [[0.000, 0.000, 0.000], [0.333, 0.667, 0.260], [0.333, 0.667, 0.740], [0.000, 0.000, 0.500]]
}

---

No. 16
{
  "formula": "Mg2HRhPb",
  "functional": "GGA-PBE",
  "state": "relaxed",
  "space_group": "P4/mmm, No. 123",
  "dos_ef_per_ev_atom": 0.3993,
  "e_tot_ev_per_cell": -18.583,
  "lattice": [[4.826, 0.000, 0.000], [0.000, 4.826, 0.000], [0.000, 0.000, 3.503]],
  "species": ["Mg", "Mg", "H", "Rh", "Pb"],
  "fractional_positions": [[0.000, 0.500, 0.000], [0.500, 0.000, 0.000], [0.000, 0.000, 0.000], [0.000, 0.000, 0.500], [0.500, 0.500, 0.500]]
}

---

No. 17
{
  "formula": "TaPRu2",
  "functional": "GGA-PBE",
  "state": "relaxed",
  "space_group": "Immm, No. 71",
  "delta_e_f_ev_per_atom": -0.419,
  "dos_ef_per_ev_atom": 0.6775,
  "lattice": [[-1.454, 2.222, 4.401], [1.454, -2.222, 4.401], [1.454, 2.222, -4.401]],
  "species": ["Ta", "P", "Ru", "Ru"],
  "fractional_positions": [[0.000, 0.000, 0.000], [0.500, 0.500, 0.000], [0.286, 0.786, 0.500], [0.714, 0.214, 0.500]]
}

---

No. 18
{
  "formula": "FeMo2Cl",
  "functional": "GGA-PBE",
  "state": "relaxed",
  "space_group": "Fm-3m, No. 225",
  "dos_ef_per_ev_atom": 1.3451,
  "raw_formation_energy_ev_per_atom": 0.75,
  "de_polymorph_mev_per_atom": 461.9,
  "lattice": [[0.000, 3.047, 3.047], [3.047, 0.000, 3.047], [3.047, 3.047, 0.000]],
  "species": ["Fe", "Mo", "Mo", "Cl"],
  "fractional_positions": [[0.000, 0.000, 0.000], [0.250, 0.250, 0.250], [0.750, 0.750, 0.750], [0.500, 0.500, 0.500]]
}

---

No. 19
{
  "formula": "DyPuGeAu",
  "functional": "GGA-PBE",
  "state": "relaxed",
  "space_group": "F-43m, No. 216",
  "delta_e_f_ev_per_atom": -0.574,
  "dos_ef_per_ev_atom": 2.5173,
  "lattice": [[0.000, 3.611, 3.611], [3.611, 0.000, 3.611], [3.611, 3.611, 0.000]],
  "species": ["Dy", "Pu", "Ge", "Au"],
  "fractional_positions": [[0.000, 0.000, 0.000], [0.500, 0.500, 0.500], [0.750, 0.750, 0.750], [0.250, 0.250, 0.250]]
}

---

No. 20
{
  "formula": "Ce6AgHg2",
  "functional": "GGA-PBE",
  "state": "relaxed",
  "space_group": "P6/mmm, No. 191",
  "delta_e_f_ev_per_atom": -0.101,
  "dos_ef_per_ev_atom": 2.6026,
  "lattice": [[9.060, 0.000, 0.000], [-4.530, 7.846, 0.000], [0.000, 0.000, 3.007]],
  "species": ["Ce", "Ce", "Ce", "Ce", "Ce", "Ce", "Ag", "Hg", "Hg"],
  "fractional_positions": [[0.000, 0.325, 0.000], [0.000, 0.675, 0.000], [0.325, 0.000, 0.000], [0.325, 0.325, 0.000], [0.675, 0.000, 0.000], [0.675, 0.675, 0.000], [0.000, 0.000, 0.500], [0.333, 0.667, 0.500], [0.667, 0.333, 0.500]]
}